The following is a DFT calculation (PBE) of a relaxed Ho6Hg4Pb7 crystal.

Cell: 8.626 8.626 8.626 Å, 109.47 109.47 109.47°
Element x y z (fractional)
Ho (0.704, 0.000, 0.704)
Ho (0.704, 0.704, 0.000)
Ho (0.000, 0.296, 0.296)
Ho (0.296, 0.000, 0.296)
Ho (0.296, 0.296, 0.000)
Ho (0.000, 0.704, 0.704)
Hg (0.500, 0.000, 0.000)
Hg (0.500, 0.500, 0.500)
Hg (0.000, 0.500, 0.000)
Hg (0.000, 0.000, 0.500)
Pb (0.750, 0.500, 0.250)
Pb (0.250, 0.750, 0.500)
Pb (0.500, 0.750, 0.250)
Pb (0.750, 0.250, 0.500)
Pb (0.250, 0.500, 0.750)
Pb (0.500, 0.250, 0.750)
Pb (0.000, 0.000, 0.000)

Output
DFT formation energy ... -195.3 kJ/mol of formula units
Electronic total energy ... -56.7 eV for the cell shown
Space-group type ... Im-3m
Crystal system ... cubic

The following is a DFT calculation (PBE) of a relaxed CaNiP2Ir crystal.

Cell: 4.004 4.004 5.570 Å, 111.07 111.07 90.00°
Element x y z (fractional)
Ca (0.000, 0.000, 0.000)
Ni (0.250, 0.750, 0.500)
P (0.620, 0.620, 0.239)
P (0.380, 0.380, 0.761)
Ir (0.750, 0.250, 0.500)

Output
DFT formation energy ... -373.2 kJ/mol of formula units
Electronic total energy ... -31.3 eV for the cell shown
Space-group type ... I-4m2
Crystal system ... tetragonal

The following is a DFT calculation (PBE) of a relaxed SrZnCu2Ni2 crystal.

Cell: 4.454 4.454 5.725 Å, 90.00 90.00 90.00°
Element x y z (fractional)
Sr (0.000, 0.000, 0.500)
Zn (0.000, 0.000, 0.000)
Cu (0.500, 0.500, 0.783)
Cu (0.500, 0.500, 0.217)
Ni (0.500, 0.000, 0.000)
Ni (0.000, 0.500, 0.000)

Output
DFT formation energy ... 125.0 kJ/mol of formula units
Electronic total energy ... -21.4 eV for the cell shown
Space-group type ... P4/mmm
Crystal system ... tetragonal

The following is a DFT calculation (PBE) of a relaxed BaTiHg crystal.

Cell: 10.377 4.134 9.559 Å, 90.00 90.00 90.00°
Element x y z (fractional)
Ti (0.454, 0.250, 0.425)
Ti (0.046, 0.750, 0.925)
Ti (0.546, 0.750, 0.575)
Ti (0.954, 0.250, 0.075)
Hg (0.943, 0.250, 0.763)
Hg (0.557, 0.750, 0.263)
Hg (0.057, 0.750, 0.237)
Hg (0.443, 0.250, 0.737)
Ba (0.811, 0.250, 0.428)
Ba (0.689, 0.750, 0.928)
Ba (0.189, 0.750, 0.572)
Ba (0.311, 0.250, 0.072)

Output
ΔE to the lowest computed polymorph ... 141 meV/atom
DFT formation energy ... 49.9 kJ/mol of formula units
Electronic total energy ... -38.4 eV for the cell shown
Space-group type ... Pnma
Crystal system ... orthorhombic

The following is a DFT calculation (PBE) of a relaxed BaMg4Cd crystal.

Cell: 6.241 6.241 6.241 Å, 60.00 60.00 60.00°
Element x y z (fractional)
Ba (0.750, 0.750, 0.750)
Mg (0.877, 0.374, 0.374)
Mg (0.374, 0.374, 0.877)
Mg (0.374, 0.877, 0.374)
Mg (0.374, 0.374, 0.374)
Cd (0.000, 0.000, 0.000)

Output
ΔE to the lowest computed polymorph ... 97 meV/atom
DFT formation energy ... -4.5 kJ/mol of formula units
Electronic total energy ... -9.3 eV for the cell shown
Space-group type ... F-43m
Crystal system ... cubic

The following is a DFT calculation (PBE) of a relaxed Tl6Bi2Pb3 crystal.

Cell: 5.979 5.108 23.749 Å, 40.91 47.69 64.35°
Element x y z (fractional)
Tl (0.097, 0.083, 0.820)
Tl (0.549, 0.547, 0.908)
Tl (0.903, 0.917, 0.180)
Tl (0.451, 0.453, 0.092)
Tl (0.736, 0.733, 0.542)
Tl (0.264, 0.267, 0.458)
Bi (0.361, 0.366, 0.272)
Bi (0.639, 0.634, 0.728)
Pb (0.000, 0.000, 0.000)
Pb (0.816, 0.823, 0.363)
Pb (0.184, 0.177, 0.637)

Output
DFT formation energy ... -12.9 kJ/mol of formula units
Electronic total energy ... -33.2 eV for the cell shown
Space-group type ... P-1
Crystal system ... triclinic

The following is a DFT calculation (PBE) of a relaxed MgCl2 crystal.

Cell: 3.731 5.957 6.076 Å, 90.00 90.00 90.00°
Element x y z (fractional)
Cl (0.000, 0.292, 0.684)
Cl (0.000, 0.708, 0.316)
Cl (0.500, 0.792, 0.816)
Cl (0.500, 0.208, 0.184)
Mg (0.000, 0.000, 0.000)
Mg (0.500, 0.500, 0.500)

Output
Electronic total energy ... -21.5 eV for the cell shown
Space-group type ... Pnnm
Formation energy without anion corrections ... -1.8161 eV per atom
Crystal system ... orthorhombic

The following is a DFT calculation (PBE) of a relaxed K3Li crystal.

Cell: 6.137 6.137 6.137 Å, 90.00 90.00 90.00°
Element x y z (fractional)
K (0.500, 0.000, 0.500)
K (0.000, 0.500, 0.500)
K (0.500, 0.500, 0.000)
Li (0.000, 0.000, 0.000)

Output
DFT formation energy ... 43.5 kJ/mol of formula units
Electronic total energy ... -4.8 eV for the cell shown
Space-group type ... Pm-3m
Crystal system ... cubic

The lowest electronic total energy belongs to which entry?
Ho6Hg4Pb7